VASP calculation (PBE) on crystalline Sm2PuTl3Se6 at its relaxed geometry.

extended XYZ file:
```
12
Lattice="7.4009 -0.0016 0.0005 -3.7001 6.4096 0.0005 -1.2338 -2.1363 7.7236" Properties=species:S:1:pos:R:3 pbc="T T T"
Se 2.4741 4.2839 1.6070
Se 3.6938 2.1470 6.1235
Pu 0.0000 0.0000 0.0000
Sm 3.7004 2.1355 0.0005
Tl 1.2335 2.1358 3.8623
Se 0.0137 4.2724 6.1235
Se 2.4534 -0.0007 1.6012
Tl -2.4602 4.2691 3.8623
Tl 4.9272 0.0026 3.8623
Se -1.2267 2.1247 1.6012
Sm 0.0004 4.2724 0.0005
Se -0.0071 -0.0122 6.1176
```

Calculated density, g cm⁻³: 7.40
DFT total energy, eV/cell: -67.118
N(E_F), states/eV/cell: 12.58
Formation energy without anion corrections, eV per atom: -1.278
SG: C2/m, No. 12

=====

VASP calculation (PBE) on crystalline LaTcNiP2 at its relaxed geometry.

extended XYZ file:
```
5
Lattice="-1.5463 3.1602 1.5891 -2.7089 0.0573 -2.7499 -1.3191 -4.9675 3.9057" Properties=species:S:1:pos:R:3 pbc="T T T"
P -3.0972 0.6639 0.3551
La 0.0000 0.0000 0.0000
Tc -3.0778 -1.6507 0.2877
P -2.4771 -2.4139 2.3899
Ni -2.4965 -0.0993 2.4572
```

Calculated density, g cm⁻³: 6.81
DFT total energy, eV/cell: -36.711
N(E_F), states/eV/cell: 2.07
SG: I-4m2, No. 119
ΔE_f, eV per atom: -0.963

=====

VASP calculation (PBE) on crystalline MnCrPtI2 at its relaxed geometry.

extended XYZ file:
```
5
Lattice="-0.4064 -2.0386 5.2191 4.6842 -1.3632 -0.1677 1.5275 4.9943 2.0697" Properties=species:S:1:pos:R:3 pbc="T T T"
I 0.7637 2.4971 1.0348
Pt 0.0000 0.0000 0.0000
Cr 2.9027 0.7963 3.5605
I -0.2032 -1.0193 2.6095
Mn 2.3421 -0.6816 -0.0839
```

Calculated density, g cm⁻³: 5.99
DFT total energy, eV/cell: -24.070
N(E_F), states/eV/cell: 2.44
Formation energy without anion corrections, eV per atom: 0.773
SG: P4/mmm, No. 123

=====

VASP calculation (PBE) on crystalline TaBH2W at its relaxed geometry.

extended XYZ file:
```
5
Lattice="-1.7543 1.8448 -2.6088 -3.6856 0.0426 2.5085 1.0629 3.1436 1.5082" Properties=species:S:1:pos:R:3 pbc="T T T"
H -0.8771 0.9224 -1.3044
H 0.5314 1.5718 0.7541
W -2.1885 2.5155 0.7040
Ta -1.8428 0.0213 1.2543
B 0.0000 0.0000 0.0000
```

Calculated density, g cm⁻³: 10.59
DFT total energy, eV/cell: -30.447
N(E_F), states/eV/cell: 3.42
SG: P4/mmm, No. 123

=====

VASP calculation (PBE) on crystalline CeErOs at its relaxed geometry.

extended XYZ file:
```
3
Lattice="4.7879 0.0000 0.0000 2.3940 4.1465 0.0000 2.3940 1.3822 3.9093" Properties=species:S:1:pos:R:3 pbc="T T T"
Er 0.0000 0.0000 0.0000
Ce 4.7879 2.7643 1.9547
Os 2.3940 1.3822 0.9773
```

Calculated density, g cm⁻³: 10.65
DFT total energy, eV/cell: -22.184
N(E_F), states/eV/cell: 5.93
SG: F-43m, No. 216
ΔE_f, eV per atom: -0.153

=====

VASP calculation (PBE) on crystalline Ce3TcSb at its relaxed geometry.

extended XYZ file:
```
5
Lattice="5.2670 0.0000 0.0000 0.0000 5.2670 0.0000 0.0000 0.0000 5.2670" Properties=species:S:1:pos:R:3 pbc="T T T"
Ce 2.6335 0.0000 0.0000
Ce 0.0000 0.0000 2.6335
Ce 0.0000 2.6335 0.0000
Sb 2.6335 2.6335 2.6335
Tc 0.0000 0.0000 0.0000
```

Calculated density, g cm⁻³: 7.27
DFT total energy, eV/cell: -33.863
N(E_F), states/eV/cell: 15.95
Formation energy without anion corrections, eV per atom: -0.315
SG: Pm-3m, No. 221

=====

Please write out number 4 again, unchanged.
VASP calculation (PBE) on crystalline TaBH2W at its relaxed geometry.

extended XYZ file:
```
5
Lattice="-1.7543 1.8448 -2.6088 -3.6856 0.0426 2.5085 1.0629 3.1436 1.5082" Properties=species:S:1:pos:R:3 pbc="T T T"
H -0.8771 0.9224 -1.3044
H 0.5314 1.5718 0.7541
W -2.1885 2.5155 0.7040
Ta -1.8428 0.0213 1.2543
B 0.0000 0.0000 0.0000
```

Calculated density, g cm⁻³: 10.59
DFT total energy, eV/cell: -30.447
N(E_F), states/eV/cell: 3.42
SG: P4/mmm, No. 123